First-principles (PBE) data for a geometry-optimized ZrHS2 structure, as listed in Alexandria via LeMat-Bulk.

Output
Magnetization ... 0.000 μB per atom
VASP energy ... -87.02 eV per cell
Theoretical density ... 4.4 g/cm³

Unit cell a=5.978 b=5.978 c=6.660 alpha=90.00 beta=90.00 gamma=90.00
Space group I-42d (No. 122)
One atom of each set of equivalent atoms:
Zr1 0.000 0.000 0.000 x4
H1 0.000 0.000 0.500 x4
S1 0.182 0.250 0.625 x8